Material: La2GeBRh6
Method: DFT, PBE
State: optimized geometry

Geometry as extended XYZ:
```
20
Lattice="6.518 0.000 0.000 0.000 6.157 0.000 0.000 0.000 8.756" Properties=species:S:1:pos:R:3 pbc="T T T"
Rh 4.760 0.025 0.000
Rh 0.000 4.873 6.703
Rh 1.501 6.132 4.378
Rh 1.907 2.791 4.378
Rh 3.259 1.283 2.325
Rh 1.758 0.025 0.000
Rh 5.166 3.365 0.000
Rh 3.259 1.283 6.431
Rh 1.352 3.365 0.000
Rh 5.017 6.132 4.378
Rh 0.000 4.873 2.053
Rh 4.610 2.791 4.378
B 3.259 1.082 4.378
B 0.000 5.074 0.000
La 3.259 4.535 6.534
La 3.259 4.535 2.222
La 0.000 1.622 2.156
La 0.000 1.622 6.600
Ge 3.259 1.974 0.000
Ge 0.000 4.183 4.378
```

***

Material: LaGeBRu3
Method: DFT, PBE
State: optimized geometry

Geometry as extended XYZ:
```
12
Lattice="5.871 0.000 0.000 0.000 5.816 0.000 0.000 -2.908 5.940" Properties=species:S:1:pos:R:3 pbc="T T T"
Ge 1.468 0.000 4.462
Ge 4.404 2.908 1.478
La 4.404 0.000 3.011
La 1.468 2.908 2.929
Ru 2.936 1.450 0.000
Ru 1.468 0.000 2.011
Ru 0.000 4.365 0.000
Ru 0.000 1.450 0.000
Ru 4.404 2.908 3.929
Ru 2.936 4.365 0.000
B 1.468 2.908 5.824
B 4.404 0.000 0.116
```

***

Material: LaGe2BRu2
Method: DFT, PBE
State: optimized geometry

Geometry as extended XYZ:
```
6
Lattice="-2.731 0.832 3.085 -2.932 -2.264 -1.985 1.705 -4.626 2.757" Properties=species:S:1:pos:R:3 pbc="T T T"
Ru -1.365 0.416 1.542
Ru -1.466 -1.132 -0.993
B 0.000 0.000 0.000
La 0.853 -2.313 1.379
Ge -2.366 -1.979 1.302
Ge -1.592 -4.079 2.555
```

***

Material: La2Ge2BRu2
Method: DFT, PBE
State: optimized geometry

Geometry as extended XYZ:
```
7
Lattice="4.366 0.000 0.000 2.183 5.715 -0.584 2.183 1.537 5.498" Properties=species:S:1:pos:R:3 pbc="T T T"
Ru 4.366 1.939 0.342
Ru 4.366 5.313 4.572
La 4.366 2.096 3.754
La 4.366 5.156 1.160
Ge 6.549 4.628 3.628
Ge 2.183 2.625 1.286
B 0.000 0.000 0.000
```

***

These records have energy of formation from the pure elements values of -639, -321, -573, -702 meV per atom, in the order they appear.